Entry 1:
A relaxed Nd2Y4Th crystal. Source: the Alexandria database, functional PBE-GGA.

Computed properties:
* formation energy: 0.026 eV per atom
* energy above the lowest structure with this stoichiometry: 0 meV/atom
* space group: Cm (8)

Lattice parameters (Å, degrees): 3.6339 3.6339 20.5068 95.18 95.18 59.92
Fractional coordinates of all 7 atoms:
Nd1 0.0000 0.0000 0.0000
Nd2 0.0894 0.0894 0.2872
Y1 0.2793 0.2793 0.8551
Y2 0.3766 0.3766 0.1444
Y3 0.8063 0.8063 0.4318
Y4 0.9001 0.9001 0.7154
Th1 0.1809 0.1809 0.5736

***

Entry 2:
A relaxed KNa2HgSb crystal. Source: the Alexandria database, functional PBE-GGA.

Computed properties:
* formation energy from raw total energies: -0.243 eV/atom
* energy above the lowest structure with this stoichiometry: 0 meV/atom
* space group: P4/mmm (123)

Lattice parameters (Å, degrees): 5.9322 5.9322 6.7857 90.00 90.00 90.00
Fractional coordinates of all 5 atoms:
K1 0.0000 0.0000 0.0000
Na1 0.0000 0.5000 0.5000
Na2 0.5000 0.0000 0.5000
Hg1 0.5000 0.5000 0.0000
Sb1 0.0000 0.0000 0.5000

***

Entry 3:
A relaxed As2RhSeBr crystal. Source: the Alexandria database, functional PBE-GGA.

Computed properties:
* formation energy from raw total energies: 1.212 eV/atom
* energy above the lowest structure with this stoichiometry: 772 meV/atom
* space group: P4/mmm (123)

Lattice parameters (Å, degrees): 5.0284 5.0284 4.9950 90.00 90.00 90.00
Fractional coordinates of all 5 atoms:
As1 0.0000 0.5000 0.0000
As2 0.5000 0.0000 0.0000
Rh1 0.0000 0.0000 0.5000
Se1 0.5000 0.5000 0.0000
Br1 0.5000 0.5000 0.5000

***

Entry 4:
A relaxed Nd4GeSeCl2 crystal. Source: the Alexandria database, functional PBE-GGA.

Computed properties:
* formation energy from raw total energies: -1.440 eV/atom
* space group: P2/m (10)

Lattice parameters (Å, degrees): 7.2343 4.2771 7.3572 90.00 110.13 90.00
Fractional coordinates of all 8 atoms:
Nd1 0.2294 0.0000 0.2361
Nd2 0.2293 0.5000 0.7512
Nd3 0.7706 0.0000 0.7639
Nd4 0.7707 0.5000 0.2488
Ge1 0.0000 0.5000 0.0000
Se1 0.0000 0.0000 0.5000
Cl1 0.5000 0.0000 0.0000
Cl2 0.5000 0.5000 0.5000

***

no.,calculated total energy (eV/cell)
1,-42.63
2,-9.38
3,-15.75
4,-42.39